Entry from the Alexandria database: Ta2CuMo after structural relaxation (PBE).

a = 3.3621 Å, b = 4.3819 Å, c = 8.8183 Å
α = 90.00°, β = 90.00°, γ = 90.00°
With the nearest neighbours (Å) after each atom.
Space group Cmm2 (No. 35)
One atom of each set of equivalent atoms:
Ta 0.0000 0.0000 0.0000 (multiplicity 2)  6 Ta 2.76-2.91, 2 Mo 2.83
Ta 0.0000 0.5000 0.2700 (multiplicity 2)  2 Cu 2.70, 6 Ta 2.76-2.91
Cu 0.0000 0.0000 0.5097 (multiplicity 2)  2 Mo 2.65, 2 Ta 2.70, 4 Cu 2.76
Mo 0.0000 0.5000 0.7417 (multiplicity 2)  2 Cu 2.65, 4 Mo 2.76, 2 Ta 2.83

The density of states at the Fermi level comes out at 6.598 states/eV/cell. As for the crystal system: orthorhombic. The calculation puts the energy above the most stable polymorph in this dataset at 0.1090 eV per atom. The energy relative to the elements comes out at 0.0860 eV per atom.

***

Entry from the Alexandria database: Ta2Cu2Mo after structural relaxation (PBE).

a = 6.8591 Å, b = 6.8591 Å, c = 3.2698 Å
α = 90.00°, β = 90.00°, γ = 90.00°
With the nearest neighbours (Å) after each atom.
Space group P4/mbm (No. 127)
One atom of each set of equivalent atoms:
Ta 0.1817 0.3183 0.0000 (multiplicity 4)  6 Cu 2.52-2.67
Cu 0.1200 0.6200 0.5000 (multiplicity 4)  1 Cu 2.33, 2 Ta 2.52
Mo 0.0000 0.0000 0.5000 (multiplicity 2)  4 Cu 2.73, 8 Ta 3.00

The density of states at the Fermi level comes out at 10.874 states/eV/cell. As for the crystal system: tetragonal. The calculation puts the energy above the most stable polymorph in this dataset at 0.0000 eV per atom. The energy relative to the elements comes out at 0.2267 eV per atom.

***

Entry from the Alexandria database: TaTiCuMo after structural relaxation (PBE).

a = 6.3174 Å, b = 6.3174 Å, c = 6.3174 Å
α = 90.00°, β = 90.00°, γ = 90.00°
With the nearest neighbours (Å) after each atom.
Space group F-43m (No. 216)
One atom of each set of equivalent atoms:
Ta 0.0000 0.0000 0.0000 (multiplicity 4)  4 Mo 2.74, 4 Cu 2.74
Ti 0.0000 0.0000 0.5000 (multiplicity 4)  4 Mo 2.74, 4 Cu 2.74
Cu 0.2500 0.2500 0.7500 (multiplicity 4)  4 Ta 2.74, 4 Ti 2.74
Mo 0.2500 0.2500 0.2500 (multiplicity 4)  4 Ta 2.74, 4 Ti 2.74

The density of states at the Fermi level comes out at 16.728 states/eV/cell. As for the crystal system: cubic. The energy relative to the elements comes out at -0.0302 eV per atom.

***

Entry from the Alexandria database: TaTlCu2Mo after structural relaxation (PBE).

a = 4.7456 Å, b = 4.7456 Å, c = 5.3575 Å
α = 90.00°, β = 90.00°, γ = 90.00°
With the nearest neighbours (Å) after each atom.
Space group P4/mmm (No. 123)
One atom of each set of equivalent atoms:
Ta 0.0000 0.0000 0.0000 (multiplicity 1)  4 Cu 2.37
Tl 0.0000 0.0000 0.5000 (multiplicity 1)  2 Ta 2.68
Cu 0.0000 0.5000 0.0000 (multiplicity 2)  2 Ta 2.37
Mo 0.5000 0.5000 0.5000 (multiplicity 1)  4 Tl 3.36, 8 Cu 3.58

The density of states at the Fermi level comes out at 4.800 states/eV/cell. As for the crystal system: tetragonal. The energy relative to the elements comes out at 1.8370 eV per atom.

***

Entry from the Alexandria database: Y2TaCuMo after structural relaxation (PBE).

a = 5.2481 Å, b = 5.2481 Å, c = 4.6536 Å
α = 90.00°, β = 90.00°, γ = 90.00°
With the nearest neighbours (Å) after each atom.
Space group P4/mmm (No. 123)
One atom of each set of equivalent atoms:
Y 0.0000 0.5000 0.0000 (multiplicity 2)  2 Mo 2.62
Ta 0.0000 0.0000 0.5000 (multiplicity 1)  8 Y 3.51, 4 Cu 3.71
Cu 0.5000 0.5000 0.5000 (multiplicity 1)  2 Mo 2.33
Mo 0.5000 0.5000 0.0000 (multiplicity 1)  2 Cu 2.33

The density of states at the Fermi level comes out at 5.564 states/eV/cell. As for the crystal system: tetragonal. The calculation puts the energy above the most stable polymorph in this dataset at 0.0000 eV per atom. The energy relative to the elements comes out at 1.3313 eV per atom.

***

Entry from the Alexandria database: Y2TaCuMo after structural relaxation (PBE).

a = 5.3177 Å, b = 5.3177 Å, c = 4.6059 Å
α = 90.00°, β = 90.00°, γ = 90.00°
With the nearest neighbours (Å) after each atom.
Space group P4/mmm (No. 123)
One atom of each set of equivalent atoms:
Y 0.0000 0.5000 0.0000 (multiplicity 2)  2 Ta 2.66
Ta 0.0000 0.0000 0.0000 (multiplicity 1)  2 Cu 2.30
Cu 0.0000 0.0000 0.5000 (multiplicity 1)  2 Ta 2.30
Mo 0.5000 0.5000 0.5000 (multiplicity 1)  8 Y 3.52, 4 Cu 3.76

The density of states at the Fermi level comes out at 7.201 states/eV/cell. As for the crystal system: tetragonal. The calculation puts the energy above the most stable polymorph in this dataset at 0.2710 eV per atom. The energy relative to the elements comes out at 1.6024 eV per atom.